Density functional theory data (PBE-GGA) for a relaxed structure of CoAs2Cl.

Calculated values
The size of the total moment is 0.00 μB/f.u. As for the crystal system: tetragonal. For the uncorrected formation energy, the calculation gives 183 meV per atom. As for the total energy: -4.380 eV/atom.

CIF file:
```
data_CoAs2Cl
_space_group_name_H-M_alt 'P 4 m m'
_space_group_IT_number 99
_cell_length_a 3.240
_cell_length_b 3.240
_cell_length_c 7.146
_cell_angle_alpha 90.00
_cell_angle_beta 90.00
_cell_angle_gamma 90.00
loop_
_space_group_symop_operation_xyz
'x,y,z'
'-y,x,z'
'-x,-y,z'
'y,-x,z'
'-x,y,z'
'y,x,z'
'x,-y,z'
'-y,-x,z'
loop_
_atom_site_label
_atom_site_type_symbol
_atom_site_fract_x
_atom_site_fract_y
_atom_site_fract_z
Co1 Co 0.000 0.000 0.000
As1 As 0.000 0.000 0.346
As2 As 0.500 0.500 0.125
Cl1 Cl 0.500 0.500 0.750
```

---

Density functional theory data (PBE-GGA) for a relaxed structure of CoAs2Cl.

Calculated values
The size of the total moment is 0.00 μB/f.u. As for the crystal system: monoclinic. For the uncorrected formation energy, the calculation gives -103 meV per atom. As for the total energy: -4.665 eV/atom.

CIF file:
```
data_CoAs2Cl
_space_group_name_H-M_alt 'C 1 m 1'
_space_group_IT_number 8
_cell_length_a 8.250
_cell_length_b 3.218
_cell_length_c 7.059
_cell_angle_alpha 90.00
_cell_angle_beta 106.94
_cell_angle_gamma 90.00
loop_
_space_group_symop_operation_xyz
'x,y,z'
'x,-y,z'
'x+1/2,y+1/2,z'
'x+1/2,-y+1/2,z'
loop_
_atom_site_label
_atom_site_type_symbol
_atom_site_fract_x
_atom_site_fract_y
_atom_site_fract_z
Co1 Co 0.000 0.000 0.000
As1 As 0.270 0.000 0.939
As2 As 0.432 0.000 0.718
Cl1 Cl 0.099 0.500 0.250
```

---

Density functional theory data (PBE-GGA) for a relaxed structure of CoAs2Cl.

Calculated values
The size of the total moment is 1.87 μB/f.u. As for the crystal system: orthorhombic. For the uncorrected formation energy, the calculation gives 539 meV per atom. As for the total energy: -4.024 eV/atom.

CIF file:
```
data_CoAs2Cl
_space_group_name_H-M_alt 'P m m m'
_space_group_IT_number 47
_cell_length_a 2.959
_cell_length_b 4.529
_cell_length_c 5.140
_cell_angle_alpha 90.00
_cell_angle_beta 90.00
_cell_angle_gamma 90.00
loop_
_space_group_symop_operation_xyz
'x,y,z'
'-x,-y,-z'
'-x,-y,z'
'x,y,-z'
'x,-y,-z'
'-x,y,z'
'-x,y,-z'
'x,-y,z'
loop_
_atom_site_label
_atom_site_type_symbol
_atom_site_fract_x
_atom_site_fract_y
_atom_site_fract_z
Co1 Co 0.000 0.000 0.000
As1 As 0.000 0.500 0.500
As2 As 0.500 0.500 0.000
Cl1 Cl 0.500 0.000 0.500
```

---

Density functional theory data (PBE-GGA) for a relaxed structure of CoAsCl2.

Calculated values
The size of the total moment is 2.98 μB/f.u. As for the crystal system: tetragonal. For the uncorrected formation energy, the calculation gives 196 meV per atom. As for the total energy: -3.666 eV/atom.

CIF file:
```
data_CoAsCl2
_space_group_name_H-M_alt 'P 4/m m m'
_space_group_IT_number 123
_space_group_name_Hall '-P 4 2'
_cell_length_a 2.952
_cell_length_b 2.952
_cell_length_c 11.451
_cell_angle_alpha 90.00
_cell_angle_beta 90.00
_cell_angle_gamma 90.00
loop_
_atom_site_label
_atom_site_type_symbol
_atom_site_fract_x
_atom_site_fract_y
_atom_site_fract_z
Co1 Co 0.000 0.000 0.000
As1 As 0.000 0.000 0.500
Cl1 Cl 0.500 0.500 0.131
```

---

Density functional theory data (PBE-GGA) for a relaxed structure of Co2AsCl.

Calculated values
The size of the total moment is 2.54 μB/f.u. As for the crystal system: tetragonal. For the uncorrected formation energy, the calculation gives 160 meV per atom. As for the total energy: -5.017 eV/atom.

CIF file:
```
data_Co2AsCl
_space_group_name_H-M_alt 'I -4 2 d'
_space_group_IT_number 122
_space_group_name_Hall 'I -4 2bw'
_cell_length_a 5.438
_cell_length_b 5.438
_cell_length_c 9.720
_cell_angle_alpha 90.00
_cell_angle_beta 90.00
_cell_angle_gamma 90.00
loop_
_atom_site_label
_atom_site_type_symbol
_atom_site_fract_x
_atom_site_fract_y
_atom_site_fract_z
Co1 Co 0.249 0.250 0.125
As1 As 0.000 0.000 0.500
Cl1 Cl 0.000 0.000 0.000
```

---

Density functional theory data (PBE-GGA) for a relaxed structure of Co2AsCl.

Calculated values
The size of the total moment is 1.98 μB/f.u. As for the crystal system: orthorhombic. For the uncorrected formation energy, the calculation gives 113 meV per atom. As for the total energy: -5.064 eV/atom.

CIF file:
```
data_Co2AsCl
_space_group_name_H-M_alt 'I m m 2'
_space_group_IT_number 44
_cell_length_a 3.167
_cell_length_b 3.318
_cell_length_c 12.697
_cell_angle_alpha 90.00
_cell_angle_beta 90.00
_cell_angle_gamma 90.00
loop_
_space_group_symop_operation_xyz
'x,y,z'
'-x,-y,z'
'-x,y,z'
'x,-y,z'
'x+1/2,y+1/2,z+1/2'
'-x+1/2,-y+1/2,z+1/2'
'-x+1/2,y+1/2,z+1/2'
'x+1/2,-y+1/2,z+1/2'
loop_
_atom_site_label
_atom_site_type_symbol
_atom_site_fract_x
_atom_site_fract_y
_atom_site_fract_z
Co1 Co 0.000 0.000 0.000
Co2 Co 0.000 0.500 0.336
As1 As 0.000 0.500 0.865
Cl1 Cl 0.000 0.000 0.598
```

---

Density functional theory data (PBE-GGA) for a relaxed structure of CoAsCl2.

Calculated values
The size of the total moment is 1.44 μB/f.u. As for the crystal system: orthorhombic. For the uncorrected formation energy, the calculation gives -6 meV per atom. As for the total energy: -3.868 eV/atom.

CIF file:
```
data_CoAsCl2
_space_group_name_H-M_alt 'I m m m'
_space_group_IT_number 71
_space_group_name_Hall '-I 2 2'
_cell_length_a 3.199
_cell_length_b 4.018
_cell_length_c 14.281
_cell_angle_alpha 90.00
_cell_angle_beta 90.00
_cell_angle_gamma 90.00
loop_
_atom_site_label
_atom_site_type_symbol
_atom_site_fract_x
_atom_site_fract_y
_atom_site_fract_z
Co1 Co 0.000 0.000 0.000
As1 As 0.000 0.000 0.500
Cl1 Cl 0.000 0.500 0.366
```

---

Density functional theory data (PBE-GGA) for a relaxed structure of CoAsCl2.

Calculated values
The size of the total moment is 3.16 μB/f.u. As for the crystal system: trigonal. For the uncorrected formation energy, the calculation gives 29 meV per atom. As for the total energy: -3.833 eV/atom.

CIF file:
```
data_CoAsCl2
_space_group_name_H-M_alt 'R -3 m'
_space_group_IT_number 166
_space_group_name_Hall '-R 3 2"'
_cell_length_a 3.2260
_cell_length_b 3.2260
_cell_length_c 33.4154
_cell_angle_alpha 90.00
_cell_angle_beta 90.00
_cell_angle_gamma 120.00
loop_
_atom_site_label
_atom_site_type_symbol
_atom_site_fract_x
_atom_site_fract_y
_atom_site_fract_z
Co1 Co 0.0000 0.0000 0.0000
As1 As 0.0000 0.0000 0.5000
Cl1 Cl 0.0000 0.0000 0.2889
```

---

Density functional theory data (PBE-GGA) for a relaxed structure of CoAs2Cl.

Calculated values
The size of the total moment is 2.10 μB/f.u. As for the crystal system: trigonal. For the uncorrected formation energy, the calculation gives -4 meV per atom. As for the total energy: -4.567 eV/atom.

CIF file:
```
data_CoAs2Cl
_space_group_name_H-M_alt 'R 3 m'
_space_group_IT_number 160
_space_group_name_Hall 'R 3 -2"'
_cell_length_a 3.5146
_cell_length_b 3.5146
_cell_length_c 25.2156
_cell_angle_alpha 90.00
_cell_angle_beta 90.00
_cell_angle_gamma 120.00
loop_
_atom_site_label
_atom_site_type_symbol
_atom_site_fract_x
_atom_site_fract_y
_atom_site_fract_z
Co1 Co 0.0000 0.0000 0.0000
As1 As 0.0000 0.0000 0.4670
As2 As 0.0000 0.0000 0.7416
Cl1 Cl 0.0000 0.0000 0.2887
```

---

Density functional theory data (PBE-GGA) for a relaxed structure of Co2AsCl.

Calculated values
The size of the total moment is 0.56 μB/f.u. As for the crystal system: orthorhombic. For the uncorrected formation energy, the calculation gives 255 meV per atom. As for the total energy: -4.922 eV/atom.

CIF file:
```
data_Co2AsCl
_space_group_name_H-M_alt 'C m m m'
_space_group_IT_number 65
_space_group_name_Hall '-C 2 2'
_cell_length_a 4.156
_cell_length_b 4.233
_cell_length_c 6.351
_cell_angle_alpha 90.00
_cell_angle_beta 90.00
_cell_angle_gamma 90.00
loop_
_atom_site_label
_atom_site_type_symbol
_atom_site_fract_x
_atom_site_fract_y
_atom_site_fract_z
Co1 Co 0.000 0.000 0.201
As1 As 0.000 0.500 0.000
Cl1 Cl 0.000 0.500 0.500
```